(1)
Compound: TcPAuCl2
Source: Alexandria
Functional: GGA-PBE
Structure: optimized geometry

```
TcPAuCl2
1.0
4.810 0.000 0.000
0.000 4.810 0.000
0.000 0.000 4.680
Tc P Au Cl
1 1 1 2
Direct
0.000 0.000 0.000
0.000 0.000 0.500
0.500 0.500 0.500
0.000 0.500 0.000
0.500 0.000 0.000
```

Results
- Crystal system: tetragonal
- D(E_F): 4.2 states/eV/f.u.
- Total moment: 0.32 μB per atom
- Mass density: 6.09 g/cm³
- Electronic total energy: -4.123 eV/atom
- Energy relative to the elements, uncorrected: 41.1 kJ per mole of atoms

***

(2)
Compound: Na3MnCd
Source: Alexandria
Functional: GGA-PBE
Structure: optimized geometry

```
Na3MnCd
1.0
5.698 0.000 0.000
0.000 5.698 0.000
0.000 0.000 5.698
Na Mn Cd
3 1 1
Direct
0.000 0.000 0.500
0.000 0.500 0.000
0.500 0.000 0.000
0.500 0.500 0.500
0.000 0.000 0.000
```

Results
- Crystal system: cubic
- D(E_F): 3.6 states/eV/f.u.
- ΔH_f (0 K): 0.688 eV per atom
- Total moment: 0.93 μB per atom
- Mass density: 2.12 g/cm³
- Electronic total energy: -2.120 eV/atom

***

(3)
Compound: KCo2As
Source: Alexandria
Functional: GGA-PBE
Structure: optimized geometry

```
KCo2As
1.0
-2.310 2.310 3.262
2.310 -2.310 3.262
2.310 2.310 -3.262
K Co As
1 2 1
Direct
0.000 0.000 0.000
0.500 0.500 0.000
0.750 0.250 0.500
0.250 0.750 0.500
```

Results
- Crystal system: tetragonal
- D(E_F): 4.8 states/eV/f.u.
- ΔH_f (0 K): 0.894 eV per atom
- Total moment: 0.99 μB per atom
- Mass density: 5.53 g/cm³
- Electronic total energy: -4.096 eV/atom

***

(4)
Compound: Li4CePr
Source: Alexandria
Functional: GGA-PBE
Structure: optimized geometry

```
Li4CePr
1.0
0.000 4.193 4.193
4.193 0.000 4.193
4.193 4.193 0.000
Li Ce Pr
4 1 1
Direct
0.124 0.124 0.124
0.124 0.124 0.627
0.124 0.627 0.124
0.627 0.124 0.124
0.500 0.500 0.500
0.750 0.750 0.750
```

Results
- Crystal system: cubic
- D(E_F): 10.3 states/eV/f.u.
- ΔH_f (0 K): 0.174 eV per atom
- Total moment: 0.38 μB per atom
- Mass density: 3.48 g/cm³
- Electronic total energy: -2.888 eV/atom

***

(5)
Compound: TmAlNi
Source: Alexandria
Functional: GGA-PBE
Structure: optimized geometry

```
TmAlNi
1.0
0.000 5.442 5.582
3.789 0.000 5.582
3.789 5.442 0.000
Tm Al Ni
4 4 4
Direct
0.000 0.000 0.000
0.000 0.000 0.500
0.000 0.500 0.000
0.500 0.000 0.000
0.244 0.506 0.244
0.494 0.756 0.494
0.506 0.244 0.506
0.756 0.494 0.756
0.199 0.199 0.551
0.449 0.449 0.801
0.551 0.551 0.199
0.801 0.801 0.449
```

Results
- Crystal system: orthorhombic
- D(E_F): 2.5 states/eV/f.u.
- ΔH_f (0 K): -0.375 eV per atom
- Total moment: 0.00 μB per atom
- Mass density: 7.35 g/cm³
- Electronic total energy: -5.040 eV/atom

***

(6)
Compound: Ce4Pu3ScSe8
Source: Alexandria
Functional: GGA-PBE
Structure: optimized geometry

```
Ce4Pu3ScSe8
1.0
4.140 2.390 6.786
-4.140 2.390 6.786
0.000 -4.780 6.786
Ce Pu Sc Se
4 3 1 8
Direct
0.000 0.000 0.000
0.000 0.500 0.500
0.500 0.000 0.500
0.500 0.500 0.000
0.000 0.000 0.500
0.000 0.500 0.000
0.500 0.000 0.000
0.500 0.500 0.500
0.248 0.248 0.248
0.255 0.741 0.741
0.259 0.259 0.745
0.259 0.745 0.259
0.741 0.255 0.741
0.741 0.741 0.255
0.745 0.259 0.259
0.752 0.752 0.752
```

Results
- Crystal system: trigonal
- D(E_F): 46.5 states/eV/f.u.
- Total moment: 1.33 μB per atom
- Mass density: 8.12 g/cm³
- Electronic total energy: -7.981 eV/atom
- Energy relative to the elements, uncorrected: -161.4 kJ per mole of atoms

***

(7)
Compound: Sc3TlSn
Source: Alexandria
Functional: GGA-PBE
Structure: optimized geometry

```
Sc3TlSn
1.0
-4.479 8.635 3.194
4.479 -8.635 3.194
4.479 8.635 -3.194
Sc Tl Sn
12 4 4
Direct
0.048 0.252 0.300
0.071 0.250 0.821
0.144 0.619 0.762
0.356 0.119 0.475
0.429 0.250 0.179
0.452 0.752 0.204
0.548 0.248 0.796
0.571 0.750 0.821
0.644 0.881 0.525
0.856 0.381 0.238
0.929 0.750 0.179
0.952 0.748 0.700
0.250 0.250 0.000
0.250 0.750 0.500
0.750 0.250 0.500
0.750 0.750 0.000
0.211 0.306 0.517
0.289 0.806 0.094
0.711 0.194 0.906
0.789 0.694 0.483
```

Results
- Crystal system: orthorhombic
- D(E_F): 5.3 states/eV/f.u.
- ΔH_f (0 K): -0.333 eV per atom
- Total moment: 0.00 μB per atom
- Mass density: 6.16 g/cm³
- Electronic total energy: -5.406 eV/atom

***

(8)
Compound: LiTc2P
Source: Alexandria
Functional: GGA-PBE
Structure: optimized geometry

```
LiTc2P
1.0
2.885 0.000 0.000
0.000 3.928 0.000
-1.414 0.000 4.811
Li Tc P
1 2 1
Direct
0.000 0.000 0.000
0.341 0.500 0.691
0.743 0.000 0.464
0.593 0.500 0.184
```

Results
- Crystal system: monoclinic
- D(E_F): 2.0 states/eV/f.u.
- ΔH_f (0 K): -0.119 eV per atom
- Total moment: 0.00 μB per atom
- Mass density: 7.12 g/cm³
- Electronic total energy: -7.133 eV/atom

***

(9)
Compound: Ce2Be4IrPt3
Source: Alexandria
Functional: GGA-PBE
Structure: optimized geometry

```
Ce2Be4IrPt3
1.0
4.057 0.000 0.000
0.000 4.057 0.000
0.000 0.000 9.527
Ce Be Ir Pt
2 4 1 3
Direct
0.000 0.500 0.247
0.500 0.000 0.753
0.000 0.000 0.500
0.000 0.500 0.881
0.500 0.000 0.119
0.500 0.500 0.500
0.500 0.500 0.000
0.000 0.000 0.000
0.000 0.500 0.626
0.500 0.000 0.374
```

Results
- Crystal system: tetragonal
- D(E_F): 12.3 states/eV/f.u.
- ΔH_f (0 K): -0.794 eV per atom
- Total moment: 0.12 μB per atom
- Mass density: 11.58 g/cm³
- Electronic total energy: -6.170 eV/atom

***

(10)
Compound: HfTcRu
Source: Alexandria
Functional: GGA-PBE
Structure: optimized geometry

```
HfTcRu
1.0
4.563 -2.195 0.000
4.563 2.195 0.000
-1.473 0.000 5.013
Hf Tc Ru
2 2 2
Direct
0.185 0.185 0.164
0.815 0.815 0.836
0.484 0.484 0.761
0.516 0.516 0.239
0.139 0.139 0.644
0.861 0.861 0.356
```

Results
- Crystal system: monoclinic
- D(E_F): 2.2 states/eV/f.u.
- ΔH_f (0 K): -0.170 eV per atom
- Total moment: 0.00 μB per atom
- Mass density: 12.49 g/cm³
- Electronic total energy: -10.035 eV/atom

***

(11)
Compound: La2TbPr6Mg
Source: Alexandria
Functional: GGA-PBE
Structure: optimized geometry

```
La2TbPr6Mg
1.0
5.336 -6.936 0.000
5.336 6.936 0.000
-1.619 0.000 9.471
La Tb Pr Mg
4 2 12 2
Direct
0.203 0.265 0.092
0.265 0.203 0.592
0.735 0.797 0.408
0.797 0.735 0.908
0.069 0.931 0.250
0.931 0.069 0.750
0.033 0.465 0.825
0.079 0.739 0.576
0.261 0.921 0.924
0.330 0.570 0.405
0.430 0.670 0.095
0.465 0.033 0.325
0.535 0.967 0.675
0.570 0.330 0.905
0.670 0.430 0.595
0.739 0.079 0.076
0.921 0.261 0.424
0.967 0.535 0.175
0.400 0.600 0.750
0.600 0.400 0.250
```

Results
- Crystal system: monoclinic
- D(E_F): 15.1 states/eV/f.u.
- ΔH_f (0 K): 0.101 eV per atom
- Total moment: 0.00 μB per atom
- Mass density: 6.19 g/cm³
- Electronic total energy: -4.375 eV/atom

***

(12)
Compound: Y2Ga3Ni4Rh
Source: Alexandria
Functional: GGA-PBE
Structure: optimized geometry

```
Y2Ga3Ni4Rh
1.0
3.869 0.000 0.000
0.000 3.869 0.000
0.000 0.000 10.822
Y Ga Ni Rh
2 3 4 1
Direct
0.000 0.500 0.242
0.500 0.000 0.758
0.000 0.000 0.000
0.000 0.500 0.631
0.500 0.000 0.369
0.000 0.000 0.500
0.000 0.500 0.851
0.500 0.000 0.149
0.500 0.500 0.500
0.500 0.500 0.000
```

Results
- Crystal system: tetragonal
- D(E_F): 7.3 states/eV/f.u.
- ΔH_f (0 K): -0.545 eV per atom
- Total moment: 0.00 μB per atom
- Mass density: 7.43 g/cm³
- Electronic total energy: -5.794 eV/atom

***

(13)
Compound: TiBe3Pd
Source: Alexandria
Functional: GGA-PBE
Structure: optimized geometry

```
TiBe3Pd
1.0
4.277 0.000 0.000
0.000 4.277 0.000
0.000 0.000 4.277
Ti Be Pd
1 3 1
Direct
0.000 0.000 0.000
0.000 0.000 0.500
0.000 0.500 0.000
0.500 0.000 0.000
0.500 0.500 0.500
```

Results
- Crystal system: cubic
- D(E_F): 2.5 states/eV/f.u.
- ΔH_f (0 K): 1.551 eV per atom
- Total moment: 0.39 μB per atom
- Mass density: 3.85 g/cm³
- Electronic total energy: -3.302 eV/atom

***

(14)
Compound: Zn2InAg4
Source: Alexandria
Functional: GGA-PBE
Structure: optimized geometry

```
Zn2InAg4
1.0
10.888 0.000 0.000
0.000 4.495 0.000
0.000 0.000 10.551
Zn In Ag
8 4 16
Direct
0.062 0.250 0.081
0.095 0.250 0.583
0.405 0.750 0.083
0.438 0.750 0.581
0.562 0.250 0.419
0.595 0.250 0.917
0.905 0.750 0.417
0.938 0.750 0.919
0.185 0.750 0.401
0.315 0.250 0.901
0.685 0.750 0.099
0.815 0.250 0.599
0.035 0.250 0.334
0.050 0.250 0.827
0.174 0.750 0.999
0.222 0.750 0.709
0.278 0.250 0.209
0.326 0.250 0.499
0.450 0.750 0.327
0.465 0.750 0.834
0.535 0.250 0.166
0.550 0.250 0.673
0.674 0.750 0.501
0.722 0.750 0.791
0.778 0.250 0.291
0.826 0.250 0.001
0.950 0.750 0.173
0.965 0.750 0.666
```

Results
- Crystal system: orthorhombic
- D(E_F): 1.7 states/eV/f.u.
- ΔH_f (0 K): 0.031 eV per atom
- Total moment: 0.00 μB per atom
- Mass density: 8.71 g/cm³
- Electronic total energy: -2.354 eV/atom

***

(15)
Compound: CaLa2Nd8
Source: Alexandria
Functional: GGA-PBE
Structure: optimized geometry

```
CaLa2Nd8
1.0
-2.880 4.305 8.137
2.880 -4.305 8.137
2.880 4.305 -8.137
Ca La Nd
1 2 8
Direct
0.000 0.000 0.000
0.297 0.297 0.000
0.703 0.703 0.000
0.157 0.860 0.297
0.158 0.658 0.500
0.304 0.500 0.804
0.438 0.140 0.297
0.562 0.860 0.703
0.696 0.500 0.196
0.842 0.342 0.500
0.843 0.140 0.703
```

Results
- Crystal system: orthorhombic
- D(E_F): 19.4 states/eV/f.u.
- ΔH_f (0 K): 0.145 eV per atom
- Total moment: 0.00 μB per atom
- Mass density: 6.06 g/cm³
- Electronic total energy: -4.400 eV/atom

***

(16)
Compound: Y2NiMo
Source: Alexandria
Functional: GGA-PBE
Structure: optimized geometry

```
Y2NiMo
1.0
4.007 0.000 0.000
0.000 2.122 5.279
0.000 -2.122 5.279
Y Ni Mo
2 1 1
Direct
0.000 0.000 0.000
0.500 0.297 0.297
0.500 0.586 0.586
0.000 0.705 0.705
```

Results
- Crystal system: orthorhombic
- D(E_F): 4.8 states/eV/f.u.
- ΔH_f (0 K): 0.034 eV per atom
- Total moment: 0.00 μB per atom
- Mass density: 6.15 g/cm³
- Electronic total energy: -7.351 eV/atom

***

(17)
Compound: InHS2N
Source: Alexandria
Functional: GGA-PBE
Structure: optimized geometry

```
InHS2N
1.0
5.463 0.000 0.000
0.000 5.463 0.000
0.000 0.000 4.342
In H S N
1 1 2 1
Direct
0.000 0.000 0.000
0.500 0.500 0.500
0.000 0.500 0.000
0.500 0.000 0.000
0.000 0.000 0.500
```

Results
- Crystal system: tetragonal
- D(E_F): 3.3 states/eV/f.u.
- Total moment: 1.01 μB per atom
- Mass density: 2.49 g/cm³
- Electronic total energy: -2.974 eV/atom

***

(18)
Compound: Pr9YTm2
Source: Alexandria
Functional: GGA-PBE
Structure: optimized geometry

```
Pr9YTm2
1.0
5.180 0.000 0.000
0.000 5.180 0.000
0.000 0.000 15.548
Pr Y Tm
9 1 2
Direct
0.000 0.000 0.000
0.000 0.000 0.334
0.000 0.000 0.666
0.000 0.500 0.168
0.000 0.500 0.500
0.000 0.500 0.832
0.500 0.000 0.168
0.500 0.000 0.500
0.500 0.000 0.832
0.500 0.500 0.000
0.500 0.500 0.334
0.500 0.500 0.666
```

Results
- Crystal system: tetragonal
- D(E_F): 18.7 states/eV/f.u.
- ΔH_f (0 K): 0.013 eV per atom
- Total moment: 0.00 μB per atom
- Mass density: 6.75 g/cm³
- Electronic total energy: -4.856 eV/atom

***

(19)
Compound: BaMnCd3
Source: Alexandria
Functional: GGA-PBE
Structure: optimized geometry

```
BaMnCd3
1.0
6.578 0.000 0.000
0.000 6.578 0.000
0.000 0.000 6.578
Ba Mn Cd
1 1 3
Direct
0.000 0.000 0.000
0.500 0.500 0.500
0.000 0.000 0.500
0.000 0.500 0.000
0.500 0.000 0.000
```

Results
- Crystal system: cubic
- D(E_F): 8.2 states/eV/f.u.
- ΔH_f (0 K): 1.098 eV per atom
- Total moment: 0.85 μB per atom
- Mass density: 3.09 g/cm³
- Electronic total energy: -1.669 eV/atom

***

(20)
Compound: SnTe2P2Pd7
Source: Alexandria
Functional: GGA-PBE
Structure: optimized geometry

```
SnTe2P2Pd7
1.0
2.805 -2.805 0.000
2.805 2.805 0.000
-2.786 0.000 14.489
Sn Te P Pd
1 2 2 7
Direct
0.000 0.000 0.000
0.208 0.208 0.417
0.792 0.792 0.583
0.383 0.383 0.764
0.617 0.617 0.236
0.073 0.573 0.147
0.303 0.303 0.604
0.427 0.927 0.853
0.500 0.500 0.000
0.573 0.073 0.147
0.697 0.697 0.396
0.927 0.427 0.853
```

Results
- Crystal system: monoclinic
- D(E_F): 6.3 states/eV/f.u.
- Total moment: 0.00 μB per atom
- Mass density: 8.60 g/cm³
- Electronic total energy: -5.220 eV/atom
- Energy relative to the elements, uncorrected: -41.7 kJ per mole of atoms

***

(21)
Compound: Nd5N4O
Source: Alexandria
Functional: GGA-PBE
Structure: optimized geometry

```
Nd5N4O
1.0
-1.818 2.570 9.101
1.818 -2.570 9.101
1.818 2.570 -9.101
Nd N O
5 4 1
Direct
0.000 0.000 0.000
0.200 0.200 0.000
0.396 0.396 0.000
0.604 0.604 0.000
0.800 0.800 0.000
0.098 0.598 0.500
0.303 0.803 0.500
0.697 0.197 0.500
0.902 0.402 0.500
0.500 0.000 0.500
```

Results
- Crystal system: orthorhombic
- D(E_F): 2.0 states/eV/f.u.
- Total moment: 0.00 μB per atom
- Mass density: 7.74 g/cm³
- Electronic total energy: -7.914 eV/atom
- Energy relative to the elements, uncorrected: -164.4 kJ per mole of atoms

***

(22)
Compound: Cs2ZnCd
Source: Alexandria
Functional: GGA-PBE
Structure: optimized geometry

```
Cs2ZnCd
1.0
0.000 4.644 4.644
4.644 0.000 4.644
4.644 4.644 0.000
Cs Zn Cd
2 1 1
Direct
0.250 0.250 0.250
0.750 0.750 0.750
0.000 0.000 0.000
0.500 0.500 0.500
```

Results
- Crystal system: cubic
- D(E_F): 6.5 states/eV/f.u.
- ΔH_f (0 K): 0.144 eV per atom
- Total moment: 0.00 μB per atom
- Mass density: 3.68 g/cm³
- Electronic total energy: -0.830 eV/atom